The following is a GGA-PBE calculation of a relaxed structure of AcEuBiAs, from the Alexandria database.

Cell: 5.624 5.624 5.624 Å, 60.00 60.00 60.00°
Last column: magnetic moment on the atom in μB.
Sites, in units of the cell vectors:
Eu 0.750 0.750 0.750  6.82
As 0.000 0.000 0.000  -0.05
Ac 0.250 0.250 0.250  -0.01
Bi 0.500 0.500 0.500  -0.07

Values from the calculation:
Space-group type   F-43m
Total moment   6.84 μB per cell
DFT formation energy   -841 meV/atom
Calculated total energy   -26.28 eV/cell

The following is a GGA-PBE calculation of a relaxed structure of MgNbNiRh, from the Alexandria database.

Cell: 4.407 4.407 4.407 Å, 60.00 60.00 60.00°
Sites, in units of the cell vectors:
Ni 0.250 0.250 0.250
Nb 0.000 0.000 0.000
Rh 0.750 0.750 0.750
Mg 0.500 0.500 0.500

Values from the calculation:
Space-group type   F-43m
Total moment   0.00 μB per cell
DFT formation energy   -301 meV/atom
Calculated total energy   -26.00 eV/cell

The following is a GGA-PBE calculation of a relaxed structure of NaSr2PtO5, from the Alexandria database.

Cell: 3.902 6.080 6.851 Å, 116.34 106.55 90.00°
Sites, in units of the cell vectors:
Na 0.000 0.500 0.000
Sr 0.219 0.219 0.439
Sr 0.781 0.781 0.561
Pt 0.500 0.000 0.000
O 0.628 0.901 0.257
O 0.372 0.099 0.743
O 0.372 0.644 0.743
O 0.628 0.356 0.257
O 0.000 0.000 0.000

Values from the calculation:
Formation energy from raw total energies   -1628 meV/atom
Space-group type   Immm
Total moment   0.00 μB per cell
Calculated total energy   -50.16 eV/cell

The following is a GGA-PBE calculation of a relaxed structure of CoWBr2, from the Alexandria database.

Cell: 3.161 3.161 8.256 Å, 90.00 90.00 90.00°
Last column: magnetic moment on the atom in μB.
Sites, in units of the cell vectors:
Br 0.000 0.000 0.915  -0.01
Br 0.500 0.500 0.362  0.02
Co 0.000 0.000 0.535  0.40
W 0.500 0.500 0.688  0.18

Values from the calculation:
Formation energy from raw total energies   399 meV/atom
Space-group type   P4mm
Total moment   0.66 μB per cell
Calculated total energy   -21.81 eV/cell
Excess energy over the best structure of this formula in the dataset   5.00 kcal/mol of atoms

The following is a GGA-PBE calculation of a relaxed structure of AcHgPbBr, from the Alexandria database.

Cell: 5.497 5.497 5.497 Å, 60.00 60.00 60.00°
Sites, in units of the cell vectors:
Pb 0.500 0.500 0.500
Ac 0.000 0.000 0.000
Hg 0.750 0.750 0.750
Br 0.250 0.250 0.250

Values from the calculation:
Formation energy from raw total energies   -695 meV/atom
Space-group type   F-43m
Total moment   0.00 μB per cell
Calculated total energy   -12.57 eV/cell

The following is a GGA-PBE calculation of a relaxed structure of Hf6ZrIn, from the Alexandria database.

Cell: 4.297 6.443 6.443 Å, 90.24 90.00 90.00°
Sites, in units of the cell vectors:
Hf 0.500 0.623 0.873
Hf 0.500 0.127 0.377
Hf 0.500 0.129 0.871
Hf 0.000 0.878 0.626
Hf 0.000 0.374 0.122
Hf 0.000 0.372 0.628
Zr 0.500 0.622 0.378
In 0.000 0.875 0.125

Values from the calculation:
Space-group type   Amm2
Total moment   0.00 μB per cell
DFT formation energy   -54 meV/atom
Calculated total energy   -71.44 eV/cell
Excess energy over the best structure of this formula in the dataset   0.00 kcal/mol of atoms

The following is a GGA-PBE calculation of a relaxed structure of Cd3CBr, from the Alexandria database.

Cell: 4.790 4.790 4.790 Å, 90.00 90.00 90.00°
Sites, in units of the cell vectors:
C 0.000 0.000 0.000
Br 0.500 0.500 0.500
Cd 0.000 0.500 0.000
Cd 0.000 0.000 0.500
Cd 0.500 0.000 0.000

Values from the calculation:
Formation energy from raw total energies   467 meV/atom
Space-group type   Pm-3m
Total moment   0.00 μB per cell
Calculated total energy   -11.31 eV/cell
Excess energy over the best structure of this formula in the dataset   0.00 kcal/mol of atoms

The following is a GGA-PBE calculation of a relaxed structure of ThAgBi2, from the Alexandria database.

Cell: 4.390 5.021 5.021 Å, 90.00 90.00 90.00°
Sites, in units of the cell vectors:
Ag 0.500 0.000 0.000
Bi 0.000 0.000 0.500
Bi 0.000 0.500 0.000
Th 0.500 0.500 0.500

Values from the calculation:
Space-group type   P4/mmm
Total moment   0.00 μB per cell
DFT formation energy   -335 meV/atom
Calculated total energy   -19.37 eV/cell

Question: Which value of total moment does entry 3 give?
Answer: 0.00 μB per cell